DFT (PBE with a Hubbard U) results for crystalline VSbO2 at its relaxed geometry.

abc: 6.797 6.797 6.797
angles: 27.23 27.23 27.23
Site moments in Bohr magnetons follow the coordinates.
Positions (direct):
1 Sb 0.000 0.000 0.000  0.09
2 O 0.884 0.884 0.884  -0.02
3 O 0.116 0.116 0.116  -0.02
4 V 0.500 0.500 0.500  2.00

Results
E_tot in eV per atom: -6.777